No. 1
Compound: Ac2GeAs3Rh4
Source: Alexandria via LeMat-Bulk
Functional: PBE-GGA
Structure: relaxed

Cell: 4.376 4.376 10.275 Å, 90.00 90.00 90.00°
Element x y z (fractional)
Ac: 0.000 0.500 0.246
Ac: 0.500 0.000 0.754
Ge: 0.500 0.500 0.000
As: 0.000 0.000 0.000
As: 0.000 0.500 0.632
As: 0.500 0.000 0.368
Rh: 0.000 0.000 0.500
Rh: 0.000 0.500 0.877
Rh: 0.500 0.000 0.123
Rh: 0.500 0.500 0.500

- Formation enthalpy at 0 K: -906 meV/atom

No. 2
Compound: ZrPa2
Source: Alexandria via LeMat-Bulk
Functional: PBE-GGA
Structure: relaxed

Cell: 5.660 5.660 5.647 Å, 99.88 99.88 119.96°
Element x y z (fractional)
Zr: 0.076 0.924 0.750
Zr: 0.924 0.076 0.250
Pa: 0.253 0.747 0.250
Pa: 0.409 0.591 0.750
Pa: 0.591 0.409 0.250
Pa: 0.747 0.253 0.750

- Formation enthalpy at 0 K: 64 meV/atom

No. 3
Compound: Rb3Li
Source: Alexandria via LeMat-Bulk
Functional: PBE-GGA
Structure: relaxed

Cell: 8.831 8.831 8.831 Å, 146.96 61.14 130.12°
Element x y z (fractional)
Rb: 0.000 0.000 0.000
Rb: 0.295 0.502 0.794
Rb: 0.708 0.502 0.206
Li: 0.495 0.995 0.500

- Formation enthalpy at 0 K: 123 meV/atom

No. 4
Compound: TbSm2YEr5
Source: Alexandria via LeMat-Bulk
Functional: PBE-GGA
Structure: relaxed

Cell: 9.830 9.830 9.830 Å, 128.02 128.02 76.59°
Element x y z (fractional)
Tb: 0.250 0.750 0.500
Tb: 0.750 0.250 0.500
Sm: 0.117 0.617 0.734
Sm: 0.383 0.117 0.500
Sm: 0.617 0.883 0.500
Sm: 0.883 0.383 0.266
Y: 0.250 0.250 0.000
Y: 0.750 0.750 0.000
Er: 0.000 0.000 0.000
Er: 0.072 0.152 0.500
Er: 0.152 0.652 0.080
Er: 0.348 0.428 0.500
Er: 0.428 0.928 0.080
Er: 0.500 0.500 0.000
Er: 0.572 0.072 0.920
Er: 0.652 0.572 0.500
Er: 0.848 0.348 0.920
Er: 0.928 0.848 0.500

- Formation enthalpy at 0 K: 275 meV/atom

In order of appearance, DFT total energy = -6.524, -9.116, -1.081, -4.542 eV per atom.